# KSrIn2, PBEsol geometry, DFT SCAN
data_KSrIn2
_cell_length_a 5.2759
_cell_length_b 5.2759
_cell_length_c 8.8810
_cell_angle_alpha 90.00
_cell_angle_beta 90.00
_cell_angle_gamma 90.00
_symmetry_space_group_name_H-M 'I -4 m 2'
_symmetry_Int_Tables_number 119
_symmetry_space_group_name_Hall 'I -4 -2'
loop_
_atom_site_label
_atom_site_fract_x
_atom_site_fract_y
_atom_site_fract_z
K1 0.0000 0.0000 0.0000
Sr1 0.0000 0.5000 0.2500
In1 0.0000 0.0000 0.5000
In2 0.0000 0.5000 0.7500
# excess energy over the best structure of this formula in the dataset: 40 meV/atom
# total energy: -196.598 eV for the cell shown
# Fermi-level density of states: 4.0 states/eV/cell



# ZrIn2Mo, PBEsol geometry, DFT SCAN
data_ZrIn2Mo
_cell_length_a 3.5307
_cell_length_b 5.0246
_cell_length_c 9.1821
_cell_angle_alpha 90.00
_cell_angle_beta 90.00
_cell_angle_gamma 90.00
_symmetry_space_group_name_H-M 'C m m 2'
_symmetry_Int_Tables_number 35
loop_
_symmetry_equiv_pos_as_xyz
'x,y,z'
'-x,-y,z'
'-x,y,z'
'x,-y,z'
'x+1/2,y+1/2,z'
'-x+1/2,-y+1/2,z'
'-x+1/2,y+1/2,z'
'x+1/2,-y+1/2,z'
loop_
_atom_site_label
_atom_site_fract_x
_atom_site_fract_y
_atom_site_fract_z
Zr1 0.0000 0.0000 0.0000
In1 0.0000 0.0000 0.4568
In2 0.0000 0.5000 0.7312
Mo1 0.0000 0.5000 0.2222
# excess energy over the best structure of this formula in the dataset: 183 meV/atom
# total energy: -263.692 eV for the cell shown
# Fermi-level density of states: 3.4 states/eV/cell



# ScAg2Pb, PBEsol geometry, DFT SCAN
data_ScAg2Pb
_cell_length_a 4.8229
_cell_length_b 4.8229
_cell_length_c 6.7800
_cell_angle_alpha 90.00
_cell_angle_beta 90.00
_cell_angle_gamma 90.00
_symmetry_space_group_name_H-M 'I -4 m 2'
_symmetry_Int_Tables_number 119
_symmetry_space_group_name_Hall 'I -4 -2'
loop_
_atom_site_label
_atom_site_fract_x
_atom_site_fract_y
_atom_site_fract_z
Sc1 0.0000 0.0000 0.0000
Ag1 0.0000 0.0000 0.5000
Ag2 0.0000 0.5000 0.2500
Pb1 0.0000 0.5000 0.7500
# total energy: -307.287 eV for the cell shown
# Fermi-level density of states: 3.1 states/eV/cell